(1)
# MnGe3C, relaxed, DFT GGA-PBE
# Total magnetic moment (μB/atom): 0.599
# Energy above the most stable polymorph in this dataset (meV/atom): 0
data_MnGe3C
_symmetry_space_group_name_H-M 'P m -3 m'
_symmetry_Int_Tables_number 221
_symmetry_space_group_name_Hall '-P 4 2 3'
_cell_length_a 4.533
_cell_length_b 4.533
_cell_length_c 4.533
_cell_angle_alpha 90.00
_cell_angle_beta 90.00
_cell_angle_gamma 90.00
loop_
_atom_site_label
_atom_site_fract_x
_atom_site_fract_y
_atom_site_fract_z
Mn1 0.000 0.000 0.000
Ge1 0.000 0.000 0.500
C1 0.500 0.500 0.500

(2)
# Mn2GeC, relaxed, DFT GGA-PBE
# VASP energy (eV per atom): -7.97
# Total magnetic moment (μB/atom): 0.579
data_Mn2GeC
_symmetry_space_group_name_H-M 'P m m 2'
_symmetry_Int_Tables_number 25
_cell_length_a 2.641
_cell_length_b 2.738
_cell_length_c 6.062
_cell_angle_alpha 90.00
_cell_angle_beta 90.00
_cell_angle_gamma 90.00
loop_
_symmetry_equiv_pos_as_xyz
'x,y,z'
'-x,-y,z'
'-x,y,z'
'x,-y,z'
loop_
_atom_site_label
_atom_site_fract_x
_atom_site_fract_y
_atom_site_fract_z
Mn1 0.000 0.000 0.000
Mn2 0.000 0.500 0.359
Ge1 0.500 0.500 0.714
C1 0.500 0.000 0.247

(3)
# Mn8Ge2C, relaxed, DFT GGA-PBE
# VASP energy (eV per atom): -8.31
# Total magnetic moment (μB/atom): 0.550
data_Mn8Ge2C
_symmetry_space_group_name_H-M 'P m m m'
_symmetry_Int_Tables_number 47
_cell_length_a 3.101
_cell_length_b 3.980
_cell_length_c 10.389
_cell_angle_alpha 90.00
_cell_angle_beta 90.00
_cell_angle_gamma 90.00
loop_
_symmetry_equiv_pos_as_xyz
'x,y,z'
'-x,-y,-z'
'-x,-y,z'
'x,y,-z'
'x,-y,-z'
'-x,y,z'
'-x,y,-z'
'x,-y,z'
loop_
_atom_site_label
_atom_site_fract_x
_atom_site_fract_y
_atom_site_fract_z
Mn1 0.000 0.000 0.000
Mn2 0.000 0.000 0.380
Mn3 0.000 0.500 0.196
Mn4 0.500 0.500 0.000
Mn5 0.500 0.500 0.384
Ge1 0.500 0.000 0.185
C1 0.500 0.000 0.500